Entry from Alexandria: an optimized crystal structure of LiAcPaIr (PBE).

Cell lengths 7.248, 7.248, 7.248 Å; angles 90.00, 90.00, 90.00 degrees
Space group F-43m (No. 216)
Asymmetric unit:
Li1 0.000 0.000 0.000
Ac1 0.250 0.250 0.750
Pa1 0.250 0.250 0.250
Ir1 0.000 0.000 0.500

## Properties
The value obtained for the formation enthalpy at 0 K is -0.07 eV/f.u. The volume comes out at 23.794 Å³/atom.

***

Entry from Alexandria: an optimized crystal structure of LiAcIrPb (PBE).

Cell lengths 7.172, 7.172, 7.172 Å; angles 90.00, 90.00, 90.00 degrees
Space group F-43m (No. 216)
Asymmetric unit:
Li1 0.000 0.000 0.000
Ac1 0.250 0.250 0.250
Ir1 0.000 0.000 0.500
Pb1 0.250 0.250 0.750

## Properties
The value obtained for the formation enthalpy at 0 K is -1.12 eV/f.u. The volume comes out at 23.057 Å³/atom.